Entry 1:
Y2TcSe: relaxed, GGA-PBE.

```
Y2TcSe
1.0
4.0932 0.0000 0.0000
0.0000 4.0932 0.0000
0.0000 0.0000 5.8189
Y Tc Se
2 1 1
direct
0.0000 0.0000 0.0000 Y
0.5000 0.5000 0.4222 Y
0.5000 0.5000 0.9776 Tc
0.0000 0.0000 0.5015 Se
```

Output
space group	P4mm (99)
ΔE_f (raw)	-0.473	eV/atom
E_tot	-28.67	eV for the cell shown
calculated density	6.04	g cm⁻³



Entry 2:
YTc2Se: relaxed, GGA-PBE.

```
YTc2Se
1.0
3.2037 0.0000 0.0000
0.0000 3.2037 0.0000
0.0000 0.0000 7.1517
Y Tc Se
1 2 1
direct
0.0000 0.0000 0.0000 Y
0.0000 0.0000 0.5231 Tc
0.5000 0.5000 0.7082 Tc
0.5000 0.5000 0.2798 Se
```

Output
space group	P4mm (99)
ΔE_f (raw)	-0.150	eV/atom
E_tot	-31.28	eV for the cell shown
calculated density	8.23	g cm⁻³



Entry 3:
YTc2Se: relaxed, GGA-PBE.

```
YTc2Se
1.0
-2.1616 2.1616 3.8303
2.1616 -2.1616 3.8303
2.1616 2.1616 -3.8303
Y Tc Se
1 2 1
direct
0.0000 0.0000 0.0000 Y
0.5000 0.5000 0.0000 Tc
0.7500 0.2500 0.5000 Tc
0.2500 0.7500 0.5000 Se
```

Output
space group	I-4m2 (119)
ΔE_f (raw)	0.210	eV/atom
E_tot	-29.84	eV for the cell shown
calculated density	8.44	g cm⁻³